Material: MnTcMo2
Method: DFT, GGA-PBE
State: relaxed

## Properties
Calculated total energy in eV per atom: -10.22
Energy of formation in eV per atom: 0.08
Relative energy among the computed polymorphs in eV per formula unit: 0.08

The structure in CIF format:
```
data_MnTcMo2
_symmetry_space_group_name_H-M 'P 1 2/m 1'
_symmetry_Int_Tables_number 10
_cell_length_a 2.665
_cell_length_b 4.360
_cell_length_c 5.155
_cell_angle_alpha 90.00
_cell_angle_beta 100.16
_cell_angle_gamma 90.00
loop_
_symmetry_equiv_pos_as_xyz
'x,y,z'
'-x,-y,-z'
'-x,y,-z'
'x,-y,z'
loop_
_atom_site_label
_atom_site_fract_x
_atom_site_fract_y
_atom_site_fract_z
_atom_site_occupancy
Mn1 0.000 0.000 0.000 1
Tc1 0.500 0.000 0.500 1
Mo1 0.262 0.500 0.755 1
```


Material: RbBa2ErI8
Method: DFT, GGA-PBE
State: relaxed

## Properties
Calculated total energy in eV per atom: -3.38

The structure in CIF format:
```
data_RbBa2ErI8
_symmetry_space_group_name_H-M 'P -1'
_symmetry_Int_Tables_number 2
_cell_length_a 7.610
_cell_length_b 7.872
_cell_length_c 10.527
_cell_angle_alpha 90.01
_cell_angle_beta 90.04
_cell_angle_gamma 90.29
loop_
_symmetry_equiv_pos_as_xyz
'x,y,z'
'-x,-y,-z'
loop_
_atom_site_label
_atom_site_fract_x
_atom_site_fract_y
_atom_site_fract_z
_atom_site_occupancy
Rb1 0.000 0.000 0.000 1
Ba1 0.500 0.500 0.257 1
Er1 0.000 0.000 0.500 1
I1 0.229 0.854 0.294 1
I2 0.230 0.855 0.706 1
I3 0.231 0.324 0.500 1
I4 0.248 0.390 0.000 1
```